(1)
TaIn3 after structural relaxation, computed with PBE-GGA.

```
TaIn3
1.0
3.291 0.000 0.000
0.000 4.287 0.000
0.000 0.000 6.190
Ta In
1 3
direct
0.000 0.000 0.000 Ta
0.000 0.000 0.500 In
0.500 0.500 0.237 In
0.500 0.500 0.763 In
```

Values from the calculation:
Space group: Pmmm (47)
Formation enthalpy at 0 K, eV/atom: 0.28
Energy, eV for the cell shown: -18.9

***

(2)
Ta3In after structural relaxation, computed with PBE-GGA.

```
Ta3In
1.0
6.713 0.000 0.000
0.000 6.713 0.000
0.000 0.000 6.713
Ta In
12 4
direct
0.000 0.000 0.000 Ta
0.000 0.500 0.500 Ta
0.250 0.250 0.250 Ta
0.250 0.250 0.750 Ta
0.250 0.750 0.250 Ta
0.250 0.750 0.750 Ta
0.500 0.000 0.500 Ta
0.500 0.500 0.000 Ta
0.750 0.250 0.250 Ta
0.750 0.250 0.750 Ta
0.750 0.750 0.250 Ta
0.750 0.750 0.750 Ta
0.000 0.000 0.500 In
0.000 0.500 0.000 In
0.500 0.000 0.000 In
0.500 0.500 0.500 In
```

Values from the calculation:
Space group: Fm-3m (225)
Formation enthalpy at 0 K, eV/atom: 0.23
Energy, eV for the cell shown: -149.6

***

(3)
TaIn after structural relaxation, computed with PBE-GGA.

```
TaIn
1.0
8.633 0.000 0.000
0.000 8.633 0.000
0.000 0.000 4.767
Ta In
8 8
direct
0.169 0.169 0.000 Ta
0.169 0.831 0.000 Ta
0.331 0.331 0.500 Ta
0.331 0.669 0.500 Ta
0.669 0.331 0.500 Ta
0.669 0.669 0.500 Ta
0.831 0.169 0.000 Ta
0.831 0.831 0.000 Ta
0.000 0.275 0.500 In
0.000 0.725 0.500 In
0.225 0.500 0.000 In
0.275 0.000 0.500 In
0.500 0.225 0.000 In
0.500 0.775 0.000 In
0.725 0.000 0.500 In
0.775 0.500 0.000 In
```

Values from the calculation:
Space group: I4/mmm (139)
Formation enthalpy at 0 K, eV/atom: 0.37
Energy, eV for the cell shown: -110.8